HfMgSi2Pt4: relaxed, GGA-PBE.

energy	-53.85	eV per cell

Lattice parameters (Å, degrees): 7.006 5.320 5.320 40.37 90.00 90.00
Positions (direct):
Pt1 0.796 0.861 0.861
Pt2 0.294 0.136 0.136
Pt3 0.204 0.861 0.861
Pt4 0.706 0.136 0.136
Si1 0.000 0.268 0.268
Si2 0.500 0.733 0.733
Mg1 0.500 0.457 0.457
Hf1 0.000 0.547 0.547


NiSn: relaxed, GGA-PBE.

energy	-8.86	eV per cell

Lattice parameters (Å, degrees): 4.052 4.052 4.052 60.00 60.00 60.00
Positions (direct):
Sn1 0.250 0.250 0.250
Ni1 0.000 0.000 0.000


InCoW4C2: relaxed, GGA-PBE.

energy	-78.29	eV per cell

Lattice parameters (Å, degrees): 3.076 3.076 13.301 90.00 90.00 120.00
Positions (direct):
W1 0.667 0.333 0.857
W2 0.000 0.000 0.682
W3 0.000 0.000 0.318
W4 0.667 0.333 0.143
C1 0.333 0.667 0.768
C2 0.333 0.667 0.232
In1 0.667 0.333 0.500
Co1 0.000 0.000 0.000


Zr4GaAuN2: relaxed, GGA-PBE.

energy	-65.95	eV per cell

Lattice parameters (Å, degrees): 3.292 3.292 14.041 90.00 90.00 120.00
Positions (direct):
Au1 0.333 0.667 0.500
Ga1 0.667 0.333 0.000
Zr1 0.667 0.333 0.338
Zr2 0.667 0.333 0.662
Zr3 0.333 0.667 0.159
Zr4 0.333 0.667 0.841
N1 0.000 0.000 0.751
N2 0.000 0.000 0.249


WS3: relaxed, GGA-PBE.

E above lowest polymorph	2.78	kcal/mol of atoms

Lattice parameters (Å, degrees): 6.240 6.240 6.240 57.45 57.45 57.45
Positions (direct):
S1 0.592 0.908 0.250
S2 0.092 0.750 0.408
S3 0.908 0.250 0.592
S4 0.250 0.592 0.908
S5 0.750 0.408 0.092
S6 0.408 0.092 0.750
W1 0.000 0.000 0.000
W2 0.500 0.500 0.500


TaAlNiAu: relaxed, GGA-PBE.

energy	-24.56	eV per cell

Lattice parameters (Å, degrees): 4.437 4.437 4.437 60.00 60.00 60.00
Positions (direct):
Ta1 0.250 0.250 0.250
Al1 0.000 0.000 0.000
Au1 0.500 0.500 0.500
Ni1 0.750 0.750 0.750


LuGaTcNi: relaxed, GGA-PBE.

E above lowest polymorph	0.00	kcal/mol of atoms

Lattice parameters (Å, degrees): 4.462 4.462 4.462 60.00 60.00 60.00
Positions (direct):
Ga1 0.000 0.000 0.000
Ni1 0.750 0.750 0.750
Tc1 0.250 0.250 0.250
Lu1 0.500 0.500 0.500


TlCdFeSe3: relaxed, GGA-PBE.

energy	-47.60	eV per cell

Lattice parameters (Å, degrees): 8.404 3.912 10.361 90.00 108.64 90.00
Positions (direct):
Tl1 0.765 0.750 0.775
Tl2 0.235 0.250 0.225
Se1 0.435 0.250 0.686
Se2 0.038 0.750 0.341
Se3 0.565 0.750 0.314
Se4 0.962 0.250 0.659
Se5 0.711 0.250 0.034
Se6 0.289 0.750 0.966
Cd1 0.820 0.250 0.383
Cd2 0.180 0.750 0.617
Fe1 0.422 0.250 0.909
Fe2 0.578 0.750 0.091


ScGaFeHg: relaxed, GGA-PBE.

E above lowest polymorph	0.00	kcal/mol of atoms

Lattice parameters (Å, degrees): 4.623 4.623 4.623 60.00 60.00 60.00
Positions (direct):
Hg1 0.500 0.500 0.500
Fe1 0.750 0.750 0.750
Ga1 0.000 0.000 0.000
Sc1 0.250 0.250 0.250


SbPdNO: relaxed, GGA-PBE.

E above lowest polymorph	1.43	kcal/mol of atoms

Lattice parameters (Å, degrees): 6.119 7.776 4.954 90.00 90.00 90.00
Positions (direct):
N1 0.638 0.150 0.613
N2 0.362 0.850 0.113
N3 0.862 0.150 0.113
N4 0.138 0.850 0.613
Pd1 0.565 0.049 0.982
Pd2 0.935 0.049 0.482
Pd3 0.435 0.951 0.482
Pd4 0.065 0.951 0.982
Sb1 0.444 0.332 0.383
Sb2 0.056 0.332 0.883
Sb3 0.944 0.668 0.383
Sb4 0.556 0.668 0.883
O1 0.131 0.477 0.224
O2 0.869 0.523 0.724
O3 0.631 0.523 0.224
O4 0.369 0.477 0.724


NbAlCoCu: relaxed, GGA-PBE.

E above lowest polymorph	3.28	kcal/mol of atoms

Lattice parameters (Å, degrees): 4.246 4.246 4.246 60.00 60.00 60.00
Positions (direct):
Cu1 0.750 0.750 0.750
Al1 0.000 0.000 0.000
Co1 0.500 0.500 0.500
Nb1 0.250 0.250 0.250


LiYGaCu: relaxed, GGA-PBE.

E above lowest polymorph	2.30	kcal/mol of atoms

Lattice parameters (Å, degrees): 4.611 4.611 4.611 60.00 60.00 60.00
Positions (direct):
Y1 0.250 0.250 0.250
Ga1 0.000 0.000 0.000
Li1 0.500 0.500 0.500
Cu1 0.750 0.750 0.750


LiCd2Pd: relaxed, GGA-PBE.

E above lowest polymorph	4.53	kcal/mol of atoms

Lattice parameters (Å, degrees): 4.589 4.589 8.819 90.00 90.00 120.00
Positions (direct):
Cd1 0.333 0.667 0.911
Cd2 0.333 0.667 0.589
Cd3 0.667 0.333 0.411
Cd4 0.667 0.333 0.089
Li1 0.333 0.667 0.250
Li2 0.667 0.333 0.750
Pd1 0.000 0.000 0.000
Pd2 0.000 0.000 0.500


LiYSbIr: relaxed, GGA-PBE.

E above lowest polymorph	7.63	kcal/mol of atoms

Lattice parameters (Å, degrees): 4.835 4.835 4.835 60.00 60.00 60.00
Positions (direct):
Sb1 0.000 0.000 0.000
Ir1 0.500 0.500 0.500
Li1 0.750 0.750 0.750
Y1 0.250 0.250 0.250


Hf2GeAu: relaxed, GGA-PBE.

energy	-27.05	eV per cell

Lattice parameters (Å, degrees): 4.826 4.826 4.826 60.00 60.00 60.00
Positions (direct):
Au1 0.250 0.250 0.250
Hf1 0.000 0.000 0.000
Hf2 0.750 0.750 0.750
Ge1 0.500 0.500 0.500


Sr2In4Pt3: relaxed, GGA-PBE.

energy	-155.06	eV per cell

Lattice parameters (Å, degrees): 14.819 14.819 4.529 90.00 90.00 120.00
Positions (direct):
In1 0.875 0.354 0.500
In2 0.646 0.521 0.500
In3 0.183 0.804 0.000
In4 0.000 0.000 0.000
In5 0.521 0.646 0.500
In6 0.722 0.000 0.500
In7 0.804 0.183 0.000
In8 0.378 0.196 0.000
In9 0.125 0.479 0.500
In10 0.622 0.817 0.000
In11 0.817 0.622 0.000
In12 0.196 0.378 0.000
In13 0.278 0.278 0.500
In14 0.000 0.722 0.500
In15 0.354 0.875 0.500
In16 0.479 0.125 0.500
Pt1 0.180 0.180 0.000
Pt2 0.000 0.820 0.000
Pt3 0.649 0.649 0.000
Pt4 0.685 0.170 0.500
Pt5 0.820 0.000 0.000
Pt6 0.351 0.000 0.000
Pt7 0.830 0.516 0.500
Pt8 0.000 0.351 0.000
Pt9 0.170 0.685 0.500
Pt10 0.484 0.315 0.500
Pt11 0.516 0.830 0.500
Pt12 0.315 0.484 0.500
Sr1 0.449 0.449 0.000
Sr2 0.000 0.551 0.000
Sr3 0.186 0.000 0.500
Sr4 0.333 0.667 0.000
Sr5 0.814 0.814 0.500
Sr6 0.667 0.333 0.000
Sr7 0.000 0.186 0.500
Sr8 0.551 0.000 0.000


HfZnAs2: relaxed, GGA-PBE.

energy	-20.11	eV per cell

Lattice parameters (Å, degrees): 4.722 4.722 4.722 60.00 60.00 60.00
Positions (direct):
Hf1 0.750 0.750 0.750
As1 0.250 0.250 0.250
As2 0.000 0.000 0.000
Zn1 0.500 0.500 0.500


GdYB2Ir2O2: relaxed, GGA-PBE.

energy	-65.20	eV per cell

Lattice parameters (Å, degrees): 3.826 3.826 7.277 90.00 90.00 90.00
Positions (direct):
O1 0.500 0.500 0.136
O2 0.000 0.000 0.863
Ir1 0.000 0.500 0.501
Ir2 0.500 0.000 0.501
B1 0.000 0.000 0.653
B2 0.500 0.500 0.347
Gd1 0.000 0.000 0.185
Y1 0.500 0.500 0.815


PaAgAu: relaxed, GGA-PBE.

E above lowest polymorph	7.07	kcal/mol of atoms

Lattice parameters (Å, degrees): 4.833 4.833 4.833 60.00 60.00 60.00
Positions (direct):
Au1 0.750 0.750 0.750
Ag1 0.250 0.250 0.250
Pa1 0.000 0.000 0.000


BaFeCuTc: relaxed, GGA-PBE.

E above lowest polymorph	0.69	kcal/mol of atoms

Lattice parameters (Å, degrees): 4.761 4.761 4.761 60.00 60.00 60.00
Positions (direct):
Fe1 0.000 0.000 0.000
Ba1 0.500 0.500 0.500
Tc1 0.250 0.250 0.250
Cu1 0.750 0.750 0.750


CuI2: relaxed, GGA-PBE.

energy	-6.68	eV per cell

Lattice parameters (Å, degrees): 6.739 6.739 6.739 60.00 60.00 60.00
Positions (direct):
I1 0.625 0.625 0.125
I2 0.625 0.125 0.625
I3 0.125 0.625 0.625
I4 0.625 0.625 0.625
Cu1 0.000 0.000 0.000
Cu2 0.250 0.250 0.250


LiAlAgSn: relaxed, GGA-PBE.

E above lowest polymorph	0.00	kcal/mol of atoms

Lattice parameters (Å, degrees): 4.730 4.730 4.730 60.00 60.00 60.00
Positions (direct):
Ag1 0.500 0.500 0.500
Al1 0.250 0.250 0.250
Sn1 0.000 0.000 0.000
Li1 0.750 0.750 0.750


NpNi: relaxed, GGA-PBE.

energy	-35.85	eV per cell

Lattice parameters (Å, degrees): 4.304 4.304 4.770 90.00 90.00 120.00
Positions (direct):
Np1 0.333 0.667 0.250
Np2 0.667 0.333 0.750
Ni1 0.000 0.000 0.500
Ni2 0.000 0.000 0.000


Li2Hf2CoSn2Ir: relaxed, GGA-PBE.

energy	-52.42	eV per cell

Lattice parameters (Å, degrees): 4.487 4.487 6.385 90.00 90.00 90.00
Positions (direct):
Sn1 0.000 0.500 0.760
Sn2 0.500 0.000 0.240
Ir1 0.500 0.500 0.500
Co1 0.000 0.000 0.000
Hf1 0.000 0.500 0.245
Hf2 0.500 0.000 0.755
Li1 0.500 0.500 0.000
Li2 0.000 0.000 0.500


NaCdReOs: relaxed, GGA-PBE.

E above lowest polymorph	1.10	kcal/mol of atoms

Lattice parameters (Å, degrees): 4.510 4.510 4.510 60.00 60.00 60.00
Positions (direct):
Os1 0.000 0.000 0.000
Re1 0.250 0.250 0.250
Cd1 0.500 0.500 0.500
Na1 0.750 0.750 0.750